First-principles (PBE) data for an optimized crystal structure of Li2YGaO, as listed in the Alexandria database.

It has space group P4/mmm (No. 123), with a = 4.352 Å, b = 4.352 Å, c = 4.460 Å, α = 90.00°, β = 90.00° and γ = 90.00°. The distinct sites, in fractional coordinates, are Li at (0.000, 0.500, 0.000), Y at (0.000, 0.000, 0.500), Ga at (0.500, 0.500, 0.500) and O at (0.000, 0.000, 0.000).

The value obtained for the total DFT energy (no corrections) is -24.3 eV/cell. The calculation puts the formation energy from raw total energies at -1.21 eV/atom.



First-principles (PBE) data for an optimized crystal structure of LiYGa4O8, as listed in the Alexandria database.

It has space group R3m (No. 160, hexagonal axes), with a = 6.0803 Å, b = 6.0803 Å, c = 14.8911 Å, α = 90.00°, β = 90.00° and γ = 120.00°. The distinct sites, in fractional coordinates, are Li at (0.0000, 0.0000, 0.0000), Y at (0.0000, 0.0000, 0.6218), Ga at (0.0000, 0.0000, 0.3862), Ga at (0.0061, 0.5031, 0.5031), O at (0.0000, 0.0000, 0.2509), O at (0.0000, 0.0000, 0.7651), O at (0.0130, 0.5065, 0.7617) and O at (0.1870, 0.3740, 0.5744).

The value obtained for the total DFT energy (no corrections) is -268.8 eV/cell. The calculation puts the formation energy from raw total energies at -2.10 eV/atom.



First-principles (PBE) data for an optimized crystal structure of Li2YGaO4, as listed in the Alexandria database.

It has space group Cmcm (No. 63), with a = 3.237 Å, b = 11.865 Å, c = 9.394 Å, α = 90.00°, β = 90.00° and γ = 90.00°. The distinct sites, in fractional coordinates, are Li at (0.000, 0.093, 0.036), Y at (0.000, 0.420, 0.250), Ga at (0.000, 0.298, 0.750), O at (0.000, 0.108, 0.250), O at (0.000, 0.181, 0.621) and O at (0.000, 0.500, 0.000).

The value obtained for the total DFT energy (no corrections) is -202.1 eV/cell. The calculation puts the formation energy from raw total energies at -2.17 eV/atom.



First-principles (PBE) data for an optimized crystal structure of LiZn2GaO4, as listed in the Alexandria database.

It has space group I-42m (No. 121), with a = 4.588 Å, b = 4.588 Å, c = 8.987 Å, α = 90.00°, β = 90.00° and γ = 90.00°. The distinct sites, in fractional coordinates, are Li at (0.000, 0.000, 0.000), Zn at (0.000, 0.500, 0.250), Ga at (0.000, 0.000, 0.500) and O at (0.237, 0.237, 0.620).

The value obtained for the total DFT energy (no corrections) is -82.2 eV/cell. The calculation puts the formation energy from raw total energies at -1.72 eV/atom.



First-principles (PBE) data for an optimized crystal structure of Li4ZnGa3O8, as listed in the Alexandria database.

It has space group R-3m (No. 166, hexagonal axes), with a = 5.9210 Å, b = 5.9210 Å, c = 14.6679 Å, α = 90.00°, β = 90.00° and γ = 120.00°. The distinct sites, in fractional coordinates, are Li at (0.0000, 0.0000, 0.0000), Li at (0.0000, 0.5000, 0.0000), Zn at (0.0000, 0.0000, 0.5000), Ga at (0.0000, 0.5000, 0.5000), O at (0.0000, 0.0000, 0.2421) and O at (0.0088, 0.5044, 0.7575).

The value obtained for the total DFT energy (no corrections) is -258.9 eV/cell. The calculation puts the formation energy from raw total energies at -1.79 eV/atom.



First-principles (PBE) data for an optimized crystal structure of Li2ZrGaO, as listed in the Alexandria database.

It has space group P4/mmm (No. 123), with a = 4.063 Å, b = 4.063 Å, c = 4.333 Å, α = 90.00°, β = 90.00° and γ = 90.00°. The distinct sites, in fractional coordinates, are Li at (0.000, 0.500, 0.000), Zr at (0.000, 0.000, 0.500), Ga at (0.500, 0.500, 0.500) and O at (0.000, 0.000, 0.000).

The value obtained for the total DFT energy (no corrections) is -26.5 eV/cell. The calculation puts the formation energy from raw total energies at -1.22 eV/atom.